A geometry-optimized BaTc2Au structure. Source: Alexandria, functional PBE-GGA.

It has space group R-3m (No. 166, hexagonal axes), with a = 2.9809 Å, b = 2.9809 Å, c = 31.3708 Å, α = 90.00°, β = 90.00° and γ = 120.00°. The asymmetric unit holds Ba at (0.0000, 0.0000, 0.0000), Tc at (0.0000, 0.0000, 0.2373) and Au at (0.0000, 0.0000, 0.5000).

The calculation puts the formation energy at 4.703 eV per formula unit. The volume is 20.12 Å³ per atom.